! Dy2MnCl | Alexandria via LeMat-Bulk | PBE | optimized geometry; values from VASP
&SYSTEM
  ibrav = 0, nat = 4, ntyp = 3
/
ATOMIC_SPECIES
Cl 35.45 Cl.upf
Mn 54.94 Mn.upf
Dy 162.50 Dy.upf
CELL_PARAMETERS angstrom
-0.1726 -1.0308 -3.1653
-2.7507 -1.5209 -1.1099
-4.8157 8.0622 -4.1181
ATOMIC_POSITIONS angstrom
Cl -3.8695 2.7553 -4.1967
Mn 0.0000 0.0000 0.0000
Dy -3.7528 5.5961 -3.3730
Dy -3.9862 -0.0856 -5.0203
! M_tot: 3.157 Bohr magnetons per cell
! energy relative to the elements, uncorrected: -33.2 kJ/mol of formula units
! space group: R-3m

---

! NaDyMnCl6 | Alexandria via LeMat-Bulk | PBE | optimized geometry; values from VASP
&SYSTEM
  ibrav = 0, nat = 18, ntyp = 4
/
ATOMIC_SPECIES
Na 22.99 Na.upf
Dy 162.50 Dy.upf
Mn 54.94 Mn.upf
Cl 35.45 Cl.upf
CELL_PARAMETERS angstrom
6.4927 0.0000 0.0000
-3.2464 5.6228 0.0000
0.0000 0.0000 12.5988
ATOMIC_POSITIONS angstrom
Na 0.0000 0.0000 0.0000
Na 0.0000 0.0000 6.2994
Dy 0.0000 3.7486 3.1497
Dy 3.2464 1.8743 9.4491
Mn 3.2464 1.8743 3.1497
Mn 0.0000 3.7486 9.4491
Cl 2.2297 3.5521 1.7308
Cl 5.2077 1.9158 1.7308
Cl -0.9447 5.4679 8.0302
Cl -1.9614 3.7070 10.8680
Cl 1.2850 1.9158 4.5686
Cl 4.2630 3.5521 4.5686
Cl 0.9447 5.4679 10.8680
Cl 4.1911 0.1549 4.5686
Cl -1.0166 2.0707 8.0302
Cl 2.3016 0.1549 1.7308
Cl 1.9614 3.7070 8.0302
Cl 1.0166 2.0707 10.8680
! M_tot: 1.990 Bohr magnetons per cell
! energy relative to the elements, uncorrected: -1337.1 kJ/mol of formula units
! space group: P-31c